1.
# TaOs2Se

A geometry-optimized TaOs2Se structure (PBE, Alexandria).

Cell: 8.9078 8.9078 8.9078 Å, 18.67 18.67 18.67°
Positions (direct):
Ta  0.0000  0.0000  0.0000
Os  0.5009  0.5009  0.5009
Os  0.7566  0.7566  0.7566
Se  0.2510  0.2510  0.2510

Values from the calculation:
The volume comes out at 63.31 Å³/f.u. The calculation puts the total energy at -9.16 eV/atom. As for the space group: R3m, No. 160. The calculation puts the uncorrected formation energy at 288.2 meV per atom.

=====

2.
# Ta2Os2Se

A geometry-optimized Ta2Os2Se structure (PBE, Alexandria).

Cell: 6.2740 6.2740 6.2740 Å, 140.16 140.16 57.62°
Positions (direct):
Ta  0.2500  0.7500  0.5000
Ta  0.7500  0.2500  0.5000
Os  0.1206  0.1206  0.0000
Os  0.8794  0.8794  0.0000
Se  0.5000  0.5000  0.0000

Values from the calculation:
The volume comes out at 100.50 Å³/f.u. The calculation puts the total energy at -9.68 eV/atom. As for the space group: I4/mmm, No. 139. The energy above the most stable polymorph in this dataset is 208 meV per atom. The calculation puts the uncorrected formation energy at 248.2 meV per atom.

=====

3.
# TaOsSe

A geometry-optimized TaOsSe structure (PBE, Alexandria).

Cell: 5.7255 5.7255 5.7255 Å, 148.61 148.61 44.98°
Positions (direct):
Ta  0.0000  0.0000  0.0000
Os  0.6455  0.6455  0.0000
Se  0.3297  0.3297  0.0000

Values from the calculation:
The volume comes out at 50.75 Å³/f.u. The calculation puts the total energy at -8.75 eV/atom. As for the space group: I4mm, No. 107. The energy above the most stable polymorph in this dataset is 54 meV per atom. The calculation puts the uncorrected formation energy at 106.0 meV per atom.

=====

4.
# TaOs2Se

A geometry-optimized TaOs2Se structure (PBE, Alexandria).

Cell: 4.4787 4.4787 4.4787 Å, 60.00 60.00 60.00°
Positions (direct):
Ta  0.0000  0.0000  0.0000
Os  0.2500  0.2500  0.2500
Os  0.5000  0.5000  0.5000
Se  0.7500  0.7500  0.7500

Values from the calculation:
The volume comes out at 63.52 Å³/f.u. The calculation puts the total energy at -8.90 eV/atom. As for the space group: F-43m, No. 216. The calculation puts the uncorrected formation energy at 550.0 meV per atom.

=====

5.
# TaOs2Se

A geometry-optimized TaOs2Se structure (PBE, Alexandria).

Cell: 4.6014 4.6014 3.0633 Å, 90.00 90.00 99.31°
Positions (direct):
Ta  0.0000  0.0000  0.0000
Os  0.0000  0.5000  0.5000
Os  0.5000  0.0000  0.5000
Se  0.5000  0.5000  0.0000

Values from the calculation:
The volume comes out at 64.00 Å³/f.u. The calculation puts the total energy at -9.05 eV/atom. As for the space group: Cmmm, No. 65. The calculation puts the uncorrected formation energy at 395.3 meV per atom.

=====

6.
# TaOs2Se

A geometry-optimized TaOs2Se structure (PBE, Alexandria).

Cell: 2.9690 4.5477 4.6475 Å, 90.00 90.00 90.00°
Positions (direct):
Ta  0.0000  0.0000  0.0000
Os  0.0000  0.5000  0.5000
Os  0.5000  0.5000  0.0000
Se  0.5000  0.0000  0.5000

Values from the calculation:
The volume comes out at 62.75 Å³/f.u. The calculation puts the total energy at -9.13 eV/atom. As for the space group: Pmmm, No. 47. The calculation puts the uncorrected formation energy at 315.8 meV per atom.

=====

7.
# TaOs2Se

A geometry-optimized TaOs2Se structure (PBE, Alexandria).

Cell: 3.1586 3.1586 6.5633 Å, 90.00 90.00 90.00°
Positions (direct):
Ta  0.0000  0.0000  0.0000
Os  0.5000  0.5000  0.2315
Os  0.5000  0.5000  0.7685
Se  0.0000  0.0000  0.5000

Values from the calculation:
The volume comes out at 65.48 Å³/f.u. The calculation puts the total energy at -9.19 eV/atom. As for the space group: P4/mmm, No. 123. The calculation puts the uncorrected formation energy at 262.2 meV per atom.

=====

8.
# TaOsSe3

A geometry-optimized TaOsSe3 structure (PBE, Alexandria).

Cell: 4.7939 4.7939 4.7939 Å, 90.00 90.00 90.00°
Positions (direct):
Ta  0.0000  0.0000  0.0000
Os  0.5000  0.5000  0.5000
Se  0.0000  0.5000  0.5000
Se  0.5000  0.0000  0.5000
Se  0.5000  0.5000  0.0000

Values from the calculation:
The volume comes out at 110.17 Å³/f.u. The calculation puts the total energy at -5.55 eV/atom. As for the space group: Pm-3m, No. 221. The energy above the most stable polymorph in this dataset is 77 meV per atom. The calculation puts the uncorrected formation energy at 1153.2 meV per atom.

=====

9.
# TaOs2Se

A geometry-optimized TaOs2Se structure (PBE, Alexandria).

Cell: 5.0790 5.0790 4.5262 Å, 93.74 93.74 34.03°
Positions (direct):
Ta  0.0000  0.0000  0.0000
Os  0.2818  0.2818  0.7151
Os  0.5558  0.5558  0.5443
Se  0.7663  0.7663  0.2550

Values from the calculation:
The volume comes out at 65.20 Å³/f.u. The calculation puts the total energy at -9.19 eV/atom. As for the space group: Cm, No. 8. The calculation puts the uncorrected formation energy at 257.0 meV per atom.

=====

10.
# TaOs2Se

A geometry-optimized TaOs2Se structure (PBE, Alexandria).

Cell: 4.5565 4.5565 3.0904 Å, 90.00 90.00 90.00°
Positions (direct):
Ta  0.0000  0.0000  0.0000
Os  0.0000  0.5000  0.5000
Os  0.5000  0.0000  0.5000
Se  0.5000  0.5000  0.0000

Values from the calculation:
The volume comes out at 64.16 Å³/f.u. The calculation puts the total energy at -9.00 eV/atom. As for the space group: P4/mmm, No. 123. The calculation puts the uncorrected formation energy at 446.2 meV per atom.

=====

11.
# TaOs2Se6

A geometry-optimized TaOs2Se6 structure (PBE, Alexandria).

Cell: 6.8937 6.8937 10.3415 Å, 119.70 119.70 30.67°
Positions (direct):
Ta  0.0000  0.0000  0.0000
Os  0.3133  0.3133  0.6273
Os  0.6867  0.6867  0.3727
Se  0.0294  0.0294  0.2689
Se  0.3275  0.3275  0.4061
Se  0.3366  0.3366  0.9054
Se  0.6634  0.6634  0.0946
Se  0.6725  0.6725  0.5939
Se  0.9706  0.9706  0.7311

Values from the calculation:
The volume comes out at 215.07 Å³/f.u. The calculation puts the total energy at -6.40 eV/atom. As for the space group: C2/m, No. 12. The calculation puts the uncorrected formation energy at -262.2 meV per atom.

=====

12.
# TaOs2Se

A geometry-optimized TaOs2Se structure (PBE, Alexandria).

Cell: 2.9888 2.9888 6.9551 Å, 90.00 90.00 90.00°
Positions (direct):
Ta  0.0000  0.0000  0.0000
Os  0.0000  0.0000  0.5156
Os  0.5000  0.5000  0.2755
Se  0.5000  0.5000  0.7668

Values from the calculation:
The volume comes out at 62.13 Å³/f.u. The calculation puts the total energy at -9.24 eV/atom. As for the space group: P4mm, No. 99. The calculation puts the uncorrected formation energy at 208.0 meV per atom.

=====

13.
# TaOs2Se

A geometry-optimized TaOs2Se structure (PBE, Alexandria).

Cell: 5.2954 5.2954 5.2954 Å, 146.81 129.29 61.96°
Positions (direct):
Ta  0.0000  0.0000  0.0000
Os  0.4585  0.4585  0.0000
Os  0.7230  0.2230  0.5000
Se  0.2396  0.7396  0.5000

Values from the calculation:
The volume comes out at 62.27 Å³/f.u. The calculation puts the total energy at -9.18 eV/atom. As for the space group: Imm2, No. 44. The calculation puts the uncorrected formation energy at 269.4 meV per atom.

=====

14.
# TaOsSe3

A geometry-optimized TaOsSe3 structure (PBE, Alexandria).

Cell: 5.0038 5.0038 5.0038 Å, 90.00 90.00 90.00°
Positions (direct):
Ta  0.0000  0.0000  0.0000
Os  0.5000  0.5000  0.5000
Se  0.0000  0.0000  0.5000
Se  0.0000  0.5000  0.0000
Se  0.5000  0.0000  0.0000

Values from the calculation:
The volume comes out at 125.29 Å³/f.u. The calculation puts the total energy at -5.63 eV/atom. As for the space group: Pm-3m, No. 221. The energy above the most stable polymorph in this dataset is 0 meV per atom. The calculation puts the uncorrected formation energy at 1075.7 meV per atom.

=====

15.
# TaOs2Se

A geometry-optimized TaOs2Se structure (PBE, Alexandria).

Cell: 5.3505 5.3505 5.3505 Å, 147.89 130.26 60.44°
Positions (direct):
Ta  0.0000  0.0000  0.0000
Os  0.2737  0.7737  0.5000
Os  0.7263  0.2263  0.5000
Se  0.5000  0.5000  0.0000

Values from the calculation:
The volume comes out at 61.58 Å³/f.u. The calculation puts the total energy at -9.29 eV/atom. As for the space group: Immm, No. 71. The calculation puts the uncorrected formation energy at 163.7 meV per atom.